Entry 1:
Below is an optimized crystal structure of SbI5F6, with properties calculated at the PBEsol level.

```
SbI5F6
1.0
8.101 0.097 -0.140
-2.989 7.978 0.092
-0.896 -3.552 14.944
F I Sb
18 15 3
direct
0.034 0.162 0.925
0.236 0.050 0.287
0.286 0.739 0.590
0.564 0.048 0.250
0.232 0.126 0.064
0.906 0.134 0.083
0.714 0.261 0.410
0.094 0.866 0.917
0.966 0.838 0.075
0.400 0.268 0.448
0.493 0.654 0.704
0.436 0.952 0.750
0.764 0.950 0.713
0.507 0.346 0.296
0.442 0.964 0.401
0.768 0.874 0.936
0.600 0.732 0.552
0.558 0.036 0.599
0.456 0.829 0.063
0.834 0.748 0.234
0.170 0.549 0.421
0.698 0.727 0.390
0.342 0.574 0.906
0.658 0.426 0.094
0.247 0.599 0.161
0.302 0.273 0.610
0.166 0.252 0.766
0.544 0.171 0.937
0.958 0.648 0.744
0.000 0.000 0.500
0.753 0.401 0.839
0.042 0.352 0.256
0.830 0.451 0.579
0.474 0.152 0.347
0.000 0.000 0.000
0.526 0.848 0.653
```

Raw formation energy = -1.332 eV/atom
Symmetry = No. 2

Entry 2:
Below is an optimized crystal structure of Rb6Co2O7, with properties calculated at the PBEsol level.

```
Rb6Co2O7
1.0
-3.688 -3.529 -4.513
4.643 -7.802 2.307
-6.195 -1.652 6.882
Rb O Co
12 14 4
direct
0.135 0.352 0.072
0.632 0.296 0.212
0.868 0.796 0.288
0.755 0.527 0.561
0.865 0.648 0.928
0.245 0.473 0.439
0.368 0.704 0.788
0.365 0.852 0.428
0.255 0.973 0.061
0.635 0.148 0.572
0.132 0.204 0.712
0.745 0.027 0.939
0.442 0.408 0.696
0.571 0.796 0.071
0.000 0.000 0.500
0.310 0.165 0.355
0.071 0.704 0.571
0.942 0.092 0.196
0.500 0.500 0.000
0.929 0.296 0.429
0.558 0.592 0.304
0.429 0.204 0.929
0.810 0.335 0.855
0.058 0.908 0.804
0.190 0.665 0.145
0.690 0.835 0.645
0.950 0.859 0.635
0.450 0.641 0.135
0.050 0.141 0.365
0.550 0.359 0.865
```

Raw formation energy = -1.218 eV/atom
Excess energy over the best structure of this formula in the dataset = 0.000 eV per atom
Symmetry = No. 14

Entry 3:
Below is an optimized crystal structure of MgTl7, with properties calculated at the PBEsol level.

```
MgTl7
1.0
6.757 0.000 0.000
3.379 5.852 0.000
3.379 1.951 5.517
Tl Mg
7 1
direct
0.000 0.000 0.500
0.500 0.000 0.000
0.000 0.500 0.500
0.000 0.500 0.000
0.500 0.500 0.500
0.500 0.000 0.500
0.500 0.500 0.000
0.000 0.000 0.000
```

Energy relative to the elements = 0.0056 eV/atom
Symmetry = No. 225

Entry 4:
Below is an optimized crystal structure of CrPtSe2, with properties calculated at the PBEsol level.

```
CrPtSe2
1.0
-1.557 0.792 2.202
0.981 -2.179 1.478
6.541 4.890 2.866
Se Cr Pt
2 1 1
direct
0.000 0.000 0.949
0.500 0.500 0.338
0.000 0.000 0.506
0.500 0.500 0.707
```

Raw formation energy = -0.041 eV/atom
Excess energy over the best structure of this formula in the dataset = 0.104 eV per atom
Symmetry = No. 99

Entry 5:
Below is an optimized crystal structure of Ba2Fe2S2OF2, with properties calculated at the PBEsol level.

```
Ba2Fe2S2OF2
1.0
-2.325 -1.886 -2.716
2.250 -3.335 0.389
-5.686 -0.432 8.176
Fe F S O Ba
2 2 2 1 2
direct
0.500 0.000 0.000
0.000 0.500 0.000
0.750 0.250 0.500
0.250 0.750 0.500
0.916 0.916 0.833
0.084 0.084 0.167
0.500 0.500 0.000
0.336 0.336 0.671
0.664 0.664 0.329
```

Raw formation energy = -2.005 eV/atom
Symmetry = No. 139

Entry 6:
Below is an optimized crystal structure of PmPr, with properties calculated at the PBEsol level.

```
PmPr
1.0
-2.396 -2.671 0.378
2.195 0.854 2.733
-3.973 3.846 1.990
Pr Pm
1 1
direct
0.667 0.333 0.000
0.333 0.667 0.500
```

Energy relative to the elements = 0.0319 eV/atom
Symmetry = No. 187